# Pm3TlPb2 PBE relaxed
data_Pm3TlPb2
_cell_length_a 6.545
_cell_length_b 6.499
_cell_length_c 9.256
_cell_angle_alpha 100.76
_cell_angle_beta 110.70
_cell_angle_gamma 90.00
_space_group_name_H-M_alt 'P 1'
_space_group_IT_number 1
loop_
_space_group_symop_operation_xyz
'x,y,z'
loop_
_atom_site_label
_atom_site_type_symbol
_atom_site_fract_x
_atom_site_fract_y
_atom_site_fract_z
Pm1 Pm 0.369 0.750 0.000
Pm2 Pm 0.715 0.899 0.660
Pm3 Pm 0.631 0.250 0.000
Pm4 Pm 0.946 0.399 0.660
Pm5 Pm 0.054 0.601 0.340
Pm6 Pm 0.285 0.101 0.340
Pb1 Pb 0.449 0.431 0.676
Pb2 Pb 0.228 0.931 0.676
Pb3 Pb 0.551 0.569 0.324
Pb4 Pb 0.772 0.069 0.324
Tl1 Tl 0.875 0.750 0.000
Tl2 Tl 0.125 0.250 0.000
# V	180.4	Å³/f.u.
# DFT total energy	-53.3	eV/cell
# density	9.70	g/cm³
# space-group type	C2/c (15)
# calculated formation energy	-0.439	eV per atom
# distance to the lowest polymorph of the same formula	0.0	meV/atom
# total magnetization	0.000	μB per cell

# PmTl2Pb PBE relaxed
data_PmTl2Pb
_cell_length_a 5.070
_cell_length_b 4.744
_cell_length_c 4.744
_cell_angle_alpha 90.00
_cell_angle_beta 90.00
_cell_angle_gamma 90.00
_space_group_name_H-M_alt 'P 1'
_space_group_IT_number 1
loop_
_space_group_symop_operation_xyz
'x,y,z'
loop_
_atom_site_label
_atom_site_type_symbol
_atom_site_fract_x
_atom_site_fract_y
_atom_site_fract_z
Tl1 Tl 0.000 0.000 0.500
Tl2 Tl 0.000 0.500 0.000
Pb1 Pb 0.500 0.500 0.500
Pm1 Pm 0.500 0.000 0.000
# V	114.1	Å³/f.u.
# DFT total energy	-14.5	eV/cell
# density	11.08	g/cm³
# space-group type	P4/mmm (123)
# calculated formation energy	-0.323	eV per atom
# distance to the lowest polymorph of the same formula	0.0	meV/atom
# total magnetization	0.000	μB per cell

# Pm4Tl5Pb PBE relaxed
data_Pm4Tl5Pb
_cell_length_a 5.025
_cell_length_b 6.791
_cell_length_c 9.787
_cell_angle_alpha 114.50
_cell_angle_beta 104.94
_cell_angle_gamma 90.02
_space_group_name_H-M_alt 'P 1'
_space_group_IT_number 1
loop_
_space_group_symop_operation_xyz
'x,y,z'
loop_
_atom_site_label
_atom_site_type_symbol
_atom_site_fract_x
_atom_site_fract_y
_atom_site_fract_z
Tl1 Tl 0.892 0.613 0.783
Tl2 Tl 0.500 0.500 0.000
Tl3 Tl 0.297 0.201 0.593
Tl4 Tl 0.108 0.387 0.217
Tl5 Tl 0.703 0.799 0.407
Pb1 Pb 0.500 0.000 0.000
Pm1 Pm 0.915 0.158 0.831
Pm2 Pm 0.301 0.721 0.602
Pm3 Pm 0.085 0.842 0.169
Pm4 Pm 0.699 0.279 0.398
# V	291.5	Å³/f.u.
# DFT total energy	-38.1	eV/cell
# density	10.31	g/cm³
# space-group type	P-1 (2)
# calculated formation energy	-0.359	eV per atom
# total magnetization	0.000	μB per cell

# Pm4Tl3Pb PBE relaxed
data_Pm4Tl3Pb
_cell_length_a 4.698
_cell_length_b 4.464
_cell_length_c 11.847
_cell_angle_alpha 90.00
_cell_angle_beta 90.00
_cell_angle_gamma 90.00
_space_group_name_H-M_alt 'P 1'
_space_group_IT_number 1
loop_
_space_group_symop_operation_xyz
'x,y,z'
loop_
_atom_site_label
_atom_site_type_symbol
_atom_site_fract_x
_atom_site_fract_y
_atom_site_fract_z
Tl1 Tl 0.500 0.000 0.907
Tl2 Tl 0.000 0.000 0.409
Tl3 Tl 0.000 0.500 0.591
Pm1 Pm 0.000 0.500 0.864
Pm2 Pm 0.000 0.000 0.136
Pm3 Pm 0.500 0.500 0.368
Pm4 Pm 0.500 0.000 0.635
Pb1 Pb 0.500 0.500 0.091
# V	248.5	Å³/f.u.
# DFT total energy	-33.1	eV/cell
# density	9.36	g/cm³
# space-group type	Pmm2 (25)
# calculated formation energy	-0.407	eV per atom
# distance to the lowest polymorph of the same formula	4.5	meV/atom
# total magnetization	0.001	μB per cell

# Pm3TlPb PBE relaxed
data_Pm3TlPb
_cell_length_a 7.199
_cell_length_b 11.182
_cell_length_c 11.182
_cell_angle_alpha 50.75
_cell_angle_beta 108.79
_cell_angle_gamma 108.79
_space_group_name_H-M_alt 'P 1'
_space_group_IT_number 1
loop_
_space_group_symop_operation_xyz
'x,y,z'
loop_
_atom_site_label
_atom_site_type_symbol
_atom_site_fract_x
_atom_site_fract_y
_atom_site_fract_z
Pm1 Pm 0.359 0.481 0.238
Pm2 Pm 0.046 0.297 0.795
Pm3 Pm 0.431 0.181 0.180
Pm4 Pm 0.454 0.205 0.703
Pm5 Pm 0.859 0.238 0.481
Pm6 Pm 0.954 0.703 0.205
Pm7 Pm 0.546 0.795 0.297
Pm8 Pm 0.069 0.820 0.819
Pm9 Pm 0.641 0.519 0.762
Pm10 Pm 0.569 0.819 0.820
Pm11 Pm 0.141 0.762 0.519
Pm12 Pm 0.931 0.180 0.181
Pb1 Pb 0.790 0.484 0.094
Pb2 Pb 0.290 0.094 0.484
Pb3 Pb 0.210 0.516 0.906
Pb4 Pb 0.710 0.906 0.516
Tl1 Tl 0.250 0.500 0.500
Tl2 Tl 0.750 0.000 0.000
Tl3 Tl 0.250 0.000 0.000
Tl4 Tl 0.750 0.500 0.500
# V	162.8	Å³/f.u.
# DFT total energy	-88.3	eV/cell
# density	8.63	g/cm³
# space-group type	C2/c (15)
# calculated formation energy	-0.351	eV per atom
# total magnetization	0.000	μB per cell

# Pm4TlPb PBE relaxed
data_Pm4TlPb
_cell_length_a 5.322
_cell_length_b 5.322
_cell_length_c 7.534
_cell_angle_alpha 89.97
_cell_angle_beta 89.99
_cell_angle_gamma 90.00
_space_group_name_H-M_alt 'P 1'
_space_group_IT_number 1
loop_
_space_group_symop_operation_xyz
'x,y,z'
loop_
_atom_site_label
_atom_site_type_symbol
_atom_site_fract_x
_atom_site_fract_y
_atom_site_fract_z
Pm1 Pm 0.501 0.998 0.743
Pm2 Pm 0.001 0.497 0.743
Pm3 Pm 0.001 0.497 0.254
Pm4 Pm 0.501 0.997 0.253
Tl1 Tl 0.001 0.997 0.498
Pb1 Pb 0.501 0.497 0.998
# V	213.4	Å³/f.u.
# DFT total energy	-26.0	eV/cell
# density	7.72	g/cm³
# space-group type	P4/mmm (123)
# calculated formation energy	-0.160	eV per atom
# total magnetization	0.014	μB per cell

# Pm5Tl2Pb2 PBE relaxed
data_Pm5Tl2Pb2
_cell_length_a 6.705
_cell_length_b 8.851
_cell_length_c 11.110
_cell_angle_alpha 113.48
_cell_angle_beta 107.56
_cell_angle_gamma 90.00
_space_group_name_H-M_alt 'P 1'
_space_group_IT_number 1
loop_
_space_group_symop_operation_xyz
'x,y,z'
loop_
_atom_site_label
_atom_site_type_symbol
_atom_site_fract_x
_atom_site_fract_y
_atom_site_fract_z
Pm1 Pm 0.950 0.297 0.167
Pm2 Pm 0.275 0.023 0.328
Pm3 Pm 0.129 0.762 0.500
Pm4 Pm 0.553 0.523 0.328
Pm5 Pm 0.717 0.797 0.167
Pm6 Pm 0.447 0.195 0.672
Pm7 Pm 0.725 0.695 0.672
Pm8 Pm 0.050 0.131 0.833
Pm9 Pm 0.283 0.631 0.833
Pm10 Pm 0.871 0.262 0.500
Tl1 Tl 0.696 0.920 0.500
Tl2 Tl 0.304 0.420 0.500
Tl3 Tl 0.500 0.401 0.000
Tl4 Tl 0.000 0.901 0.000
Pb1 Pb 0.834 0.478 0.849
Pb2 Pb 0.515 0.978 0.849
Pb3 Pb 0.166 0.629 0.151
Pb4 Pb 0.485 0.129 0.151
# V	285.5	Å³/f.u.
# DFT total energy	-77.0	eV/cell
# density	9.00	g/cm³
# space-group type	Ima2 (46)
# calculated formation energy	-0.286	eV per atom
# distance to the lowest polymorph of the same formula	167.3	meV/atom
# total magnetization	0.000	μB per cell

# Pm7TlPb2 PBE relaxed
data_Pm7TlPb2
_cell_length_a 5.469
_cell_length_b 5.469
_cell_length_c 12.932
_cell_angle_alpha 90.00
_cell_angle_beta 90.00
_cell_angle_gamma 120.00
_space_group_name_H-M_alt 'P 1'
_space_group_IT_number 1
loop_
_space_group_symop_operation_xyz
'x,y,z'
loop_
_atom_site_label
_atom_site_type_symbol
_atom_site_fract_x
_atom_site_fract_y
_atom_site_fract_z
Pm1 Pm 0.667 0.333 0.851
Pm2 Pm 0.333 0.667 0.981
Pm3 Pm 0.333 0.667 0.437
Pm4 Pm 0.667 0.333 0.111
Pm5 Pm 0.000 0.000 0.260
Pm6 Pm 0.667 0.333 0.594
Pm7 Pm 0.000 0.000 0.732
Pb1 Pb 0.667 0.333 0.353
Pb2 Pb 0.333 0.667 0.703
Tl1 Tl 0.000 0.000 0.996
# V	335.0	Å³/f.u.
# DFT total energy	-44.9	eV/cell
# density	8.10	g/cm³
# space-group type	P3m1 (156)
# calculated formation energy	-0.185	eV per atom
# total magnetization	0.438	μB per cell

# Pm5TlPb2 PBE relaxed
data_Pm5TlPb2
_cell_length_a 8.429
_cell_length_b 8.429
_cell_length_c 9.321
_cell_angle_alpha 116.88
_cell_angle_beta 116.88
_cell_angle_gamma 90.00
_space_group_name_H-M_alt 'P 1'
_space_group_IT_number 1
loop_
_space_group_symop_operation_xyz
'x,y,z'
loop_
_atom_site_label
_atom_site_type_symbol
_atom_site_fract_x
_atom_site_fract_y
_atom_site_fract_z
Pm1 Pm 0.813 0.990 0.302
Pm2 Pm 0.500 0.500 0.000
Pm3 Pm 0.187 0.010 0.698
Pm4 Pm 0.990 0.490 0.302
Pm5 Pm 0.010 0.510 0.698
Pm6 Pm 0.687 0.187 0.698
Pm7 Pm 0.510 0.687 0.698
Pm8 Pm 0.313 0.813 0.302
Pm9 Pm 0.000 0.000 0.000
Pm10 Pm 0.490 0.313 0.302
Tl1 Tl 0.750 0.750 0.500
Tl2 Tl 0.250 0.250 0.500
Pb1 Pb 0.360 0.860 0.000
Pb2 Pb 0.860 0.640 0.000
Pb3 Pb 0.140 0.360 0.000
Pb4 Pb 0.640 0.140 0.000
# V	254.6	Å³/f.u.
# DFT total energy	-73.6	eV/cell
# density	8.77	g/cm³
# space-group type	I4/mcm (140)
# calculated formation energy	-0.410	eV per atom
# distance to the lowest polymorph of the same formula	0.0	meV/atom
# total magnetization	1.751	μB per cell

# Pm5TlPb6 PBE relaxed
data_Pm5TlPb6
_cell_length_a 6.091
_cell_length_b 8.804
_cell_length_c 9.161
_cell_angle_alpha 61.28
_cell_angle_beta 76.29
_cell_angle_gamma 60.44
_space_group_name_H-M_alt 'P 1'
_space_group_IT_number 1
loop_
_space_group_symop_operation_xyz
'x,y,z'
loop_
_atom_site_label
_atom_site_type_symbol
_atom_site_fract_x
_atom_site_fract_y
_atom_site_fract_z
Pb1 Pb 0.310 0.894 0.646
Pb2 Pb 0.849 0.701 0.000
Pb3 Pb 0.690 0.106 0.354
Pb4 Pb 0.310 0.541 0.354
Pb5 Pb 0.151 0.299 0.000
Pb6 Pb 0.690 0.459 0.646
Pm1 Pm 0.500 0.869 0.261
Pm2 Pm 0.000 0.681 0.639
Pm3 Pm 0.000 0.319 0.361
Pm4 Pm 0.500 0.131 0.739
Pm5 Pm 0.500 0.500 0.000
Tl1 Tl 0.000 0.000 0.000
# V	374.8	Å³/f.u.
# DFT total energy	-53.4	eV/cell
# density	9.63	g/cm³
# space-group type	C2/m (12)
# calculated formation energy	-0.420	eV per atom
# distance to the lowest polymorph of the same formula	39.4	meV/atom
# total magnetization	0.000	μB per cell

# Pm6Tl2Pb PBE relaxed
data_Pm6Tl2Pb
_cell_length_a 5.332
_cell_length_b 7.500
_cell_length_c 9.224
_cell_angle_alpha 113.99
_cell_angle_beta 106.83
_cell_angle_gamma 90.00
_space_group_name_H-M_alt 'P 1'
_space_group_IT_number 1
loop_
_space_group_symop_operation_xyz
'x,y,z'
loop_
_atom_site_label
_atom_site_type_symbol
_atom_site_fract_x
_atom_site_fract_y
_atom_site_fract_z
Tl1 Tl 0.666 0.667 0.333
Tl2 Tl 0.334 0.333 0.667
Pb1 Pb 0.000 0.000 0.000
Pm1 Pm 0.832 0.579 0.663
Pm2 Pm 0.168 0.421 0.337
Pm3 Pm 0.168 0.916 0.337
Pm4 Pm 0.832 0.084 0.663
Pm5 Pm 0.500 0.746 0.000
Pm6 Pm 0.500 0.254 0.000
# V	319.6	Å³/f.u.
# DFT total energy	-38.0	eV/cell
# density	7.72	g/cm³
# space-group type	Immm (71)
# calculated formation energy	-0.121	eV per atom
# total magnetization	1.244	μB per cell

# Pm7Tl2Pb2 PBE relaxed
data_Pm7Tl2Pb2
_cell_length_a 7.163
_cell_length_b 7.781
_cell_length_c 7.163
_cell_angle_alpha 90.00
_cell_angle_beta 108.58
_cell_angle_gamma 90.00
_space_group_name_H-M_alt 'P 1'
_space_group_IT_number 1
loop_
_space_group_symop_operation_xyz
'x,y,z'
loop_
_atom_site_label
_atom_site_type_symbol
_atom_site_fract_x
_atom_site_fract_y
_atom_site_fract_z
Tl1 Tl 0.716 0.000 0.284
Tl2 Tl 0.284 0.000 0.716
Pb1 Pb 0.818 0.500 0.818
Pb2 Pb 0.182 0.500 0.182
Pm1 Pm 0.500 0.292 0.000
Pm2 Pm 0.500 0.708 0.000
Pm3 Pm 0.000 0.708 0.500
Pm4 Pm 0.000 0.292 0.500
Pm5 Pm 0.500 0.253 0.500
Pm6 Pm 0.500 0.747 0.500
Pm7 Pm 0.000 0.000 0.000
# V	378.4	Å³/f.u.
# DFT total energy	-46.4	eV/cell
# density	8.07	g/cm³
# space-group type	Cmmm (65)
# calculated formation energy	-0.087	eV per atom
# total magnetization	0.000	μB per cell